Entry 1:
! Li4InSbAu2, relaxed, DFT PBE-GGA; values from VASP
&SYSTEM
  ibrav = 0, nat = 8, ntyp = 4
/
ATOMIC_SPECIES
Li 6.94 Li.upf
In 114.82 In.upf
Sb 121.76 Sb.upf
Au 196.97 Au.upf
ATOMIC_POSITIONS angstrom
Li 0.0000 0.0000 0.0000
Li 0.0000 2.2791 5.0072
Li 2.2791 0.0000 1.6743
Li 2.2791 2.2791 3.3407
In 0.0000 0.0000 3.3407
Sb 2.2791 2.2791 0.0000
Au 0.0000 2.2791 1.7189
Au 2.2791 0.0000 4.9625
CELL_PARAMETERS angstrom
4.5583 0.0000 0.0000
0.0000 4.5583 0.0000
0.0000 0.0000 6.6814
! - Total energy: -3.15 eV per atom


Entry 2:
! ZrTaAl2, relaxed, DFT PBE-GGA; values from VASP
&SYSTEM
  ibrav = 0, nat = 4, ntyp = 3
/
ATOMIC_SPECIES
Zr 91.22 Zr.upf
Ta 180.95 Ta.upf
Al 26.98 Al.upf
ATOMIC_POSITIONS angstrom
Zr 0.0000 0.0000 0.0000
Ta 4.9529 4.9529 4.9529
Al 1.6510 1.6510 1.6510
Al 3.3019 3.3019 3.3019
CELL_PARAMETERS angstrom
0.0000 3.3019 3.3019
3.3019 0.0000 3.3019
3.3019 3.3019 0.0000
! - Magnetization: 0.63 μB per formula unit
! - Total energy: -6.90 eV per atom


Entry 3:
! ZrU, relaxed, DFT PBE-GGA; values from VASP
&SYSTEM
  ibrav = 0, nat = 24, ntyp = 2
/
ATOMIC_SPECIES
Zr 91.22 Zr.upf
U 238.03 U.upf
ATOMIC_POSITIONS angstrom
Zr 0.7201 1.2546 5.2572
Zr 0.7241 3.7639 2.7285
Zr 2.3151 1.2546 13.1876
Zr 2.3254 3.7639 10.7820
Zr 2.5758 1.2546 2.7756
Zr 2.5724 3.7639 5.2121
Zr 4.0905 1.2546 10.7733
Zr 4.0871 3.7639 13.2098
Zr 4.3375 1.2546 5.2034
Zr 4.3478 3.7639 2.7978
Zr 5.9388 1.2546 13.2569
Zr 5.9428 3.7639 10.7282
U 0.6746 1.2546 10.0040
U 0.6798 3.7639 13.9772
U 1.1031 1.2546 0.1104
U 1.1034 3.7639 7.8833
U 2.3492 1.2546 8.0704
U 2.3536 3.7639 15.9115
U 4.3093 1.2546 0.0739
U 4.3137 3.7639 7.9150
U 5.5595 1.2546 8.1021
U 5.5598 3.7639 15.8750
U 5.9831 1.2546 2.0082
U 5.9883 3.7639 5.9814
CELL_PARAMETERS angstrom
6.6659 0.0000 0.0000
0.0000 5.0186 0.0000
-0.0030 0.0000 15.9854
! - ΔE_f: 0.15 eV/atom
! - Magnetization: 0.02 μB per formula unit
! - ΔE to the lowest computed polymorph: 30.9 meV per atom


Entry 4:
! LiInOs2, relaxed, DFT PBE-GGA; values from VASP
&SYSTEM
  ibrav = 0, nat = 4, ntyp = 3
/
ATOMIC_SPECIES
Li 6.94 Li.upf
In 114.82 In.upf
Os 190.23 Os.upf
ATOMIC_POSITIONS angstrom
Li 0.0000 0.0000 0.0000
In 4.6663 4.6663 4.6663
Os 1.5554 1.5554 1.5554
Os 3.1109 3.1109 3.1109
CELL_PARAMETERS angstrom
0.0000 3.1109 3.1109
3.1109 0.0000 3.1109
3.1109 3.1109 0.0000
! - Magnetization: 0.00 μB per formula unit
! - Total energy: -6.50 eV per atom


Entry 5:
! PrTlHgS3, relaxed, DFT PBE-GGA; values from VASP
&SYSTEM
  ibrav = 0, nat = 24, ntyp = 4
/
ATOMIC_SPECIES
Pr 140.91 Pr.upf
Tl 204.38 Tl.upf
Hg 200.59 Hg.upf
S 32.06 S.upf
ATOMIC_POSITIONS angstrom
Pr 0.3687 1.0811 2.1285
Pr 5.6090 3.2432 8.3330
Pr 6.3465 1.0811 4.0760
Pr 11.5868 3.2432 10.2805
Tl 1.8852 1.0811 6.4254
Tl 4.0926 3.2432 0.2209
Tl 7.8629 1.0811 12.1881
Tl 10.0703 3.2432 5.9836
Hg 2.9739 3.2432 3.8575
Hg 3.0038 1.0811 10.0620
Hg 8.9517 3.2432 2.3470
Hg 8.9816 1.0811 8.5515
S 0.4474 3.2432 4.0738
S 1.0511 1.0811 11.6296
S 2.7387 3.2432 8.4885
S 3.2390 1.0811 2.2840
S 4.9266 3.2432 5.4251
S 5.5304 1.0811 10.2783
S 6.4251 3.2432 2.1307
S 7.0289 1.0811 6.9839
S 8.7165 3.2432 10.1251
S 9.2168 1.0811 3.9206
S 10.9044 3.2432 0.7794
S 11.5081 1.0811 8.3352
CELL_PARAMETERS angstrom
11.9555 0.0000 0.0000
0.0000 4.3243 0.0000
0.0000 0.0000 12.4090
! - Magnetization: 0.00 μB per formula unit
! - ΔE to the lowest computed polymorph: 6.1 meV per atom


Entry 6:
! TaIrNO, relaxed, DFT PBE-GGA; values from VASP
&SYSTEM
  ibrav = 0, nat = 8, ntyp = 4
/
ATOMIC_SPECIES
Ta 180.95 Ta.upf
Ir 192.22 Ir.upf
N 14.01 N.upf
O 16.00 O.upf
ATOMIC_POSITIONS angstrom
Ta 0.9139 0.9139 1.1587
Ta 2.7418 2.7418 5.4682
Ir 0.9139 2.7418 3.3135
Ir 2.7418 0.9139 3.3135
N 0.9139 0.9139 4.7163
N 2.7418 2.7418 1.9106
O 0.9139 2.7418 0.0000
O 2.7418 0.9139 0.0000
CELL_PARAMETERS angstrom
3.6557 0.0000 0.0000
0.0000 3.6557 0.0000
0.0000 0.0000 6.6269
! - Magnetization: 0.00 μB per formula unit
! - ΔE to the lowest computed polymorph: 734.4 meV per atom


Entry 7:
! ZrNbAlC, relaxed, DFT PBE-GGA; values from VASP
&SYSTEM
  ibrav = 0, nat = 8, ntyp = 4
/
ATOMIC_SPECIES
Zr 91.22 Zr.upf
Nb 92.91 Nb.upf
Al 26.98 Al.upf
C 12.01 C.upf
ATOMIC_POSITIONS angstrom
Zr 0.0000 0.0000 2.3848
Zr 0.0000 0.0000 11.8966
Nb 1.6057 0.9270 4.9333
Nb 1.6057 0.9270 9.3480
Al 0.0000 0.0000 7.1407
Al 1.6057 0.9270 0.0000
C 0.0000 1.8541 3.7178
C 0.0000 1.8541 10.5635
CELL_PARAMETERS angstrom
3.2113 0.0000 0.0000
-1.6057 2.7811 0.0000
0.0000 0.0000 14.2813
! - Magnetization: 0.00 μB per formula unit
! - ΔE to the lowest computed polymorph: 4.4 meV per atom


Entry 8:
! Fe2NiSb, relaxed, DFT PBE-GGA; values from VASP
&SYSTEM
  ibrav = 0, nat = 4, ntyp = 3
/
ATOMIC_SPECIES
Fe 55.84 Fe.upf
Ni 58.69 Ni.upf
Sb 121.76 Sb.upf
ATOMIC_POSITIONS angstrom
Fe 0.0000 0.0000 0.0000
Fe 1.4978 1.4978 1.4978
Ni 4.4933 4.4933 4.4933
Sb 2.9955 2.9955 2.9955
CELL_PARAMETERS angstrom
0.0000 2.9955 2.9955
2.9955 0.0000 2.9955
2.9955 2.9955 0.0000
! - Magnetization: 5.00 μB per formula unit
! - Total energy: -6.54 eV per atom


Number 1: V 17.353 A^3/atom. Number 2: V 18.000 A^3/atom. Number 3: V 22.282 A^3/atom. Number 4: V 15.053 A^3/atom. Number 5: V 26.731 A^3/atom. Number 6: V 11.070 A^3/atom. Number 7: V 15.943 A^3/atom. Number 8: V 13.440 A^3/atom.